A relaxed structure of Pr3Dy5Sc. Source: the Alexandria database, functional PBE-GGA.

a b c (Å): 12.3033 11.1622 11.6321
angles (deg): 90.00 119.76 90.00
Last column: nearest neighbours and their distance in Å.
Space group C2/m (No. 12)
Inequivalent atoms, fractional coordinates:
1 Pr 0.0000 0.0000 0.0000  2 Sc 2.94, 2 Dy 3.17
2 Pr 0.0000 0.0000 0.5000  2 Sc 3.03
3 Pr 0.1797 0.5000 0.2436  2 Dy 3.14-3.30, 1 Sc 3.35
4 Pr 0.2191 0.0000 0.3452  1 Sc 3.02, 1 Dy 3.36
5 Dy 0.0000 0.2841 0.0000  3 Pr 3.17-3.54, 4 Dy 3.46-3.50
6 Dy 0.0054 0.5000 0.3700  2 Dy 3.09-3.35, 3 Pr 3.14-3.39
7 Dy 0.1750 0.2544 0.8115  1 Sc 3.11, 1 Dy 3.22
8 Dy 0.1801 0.5000 0.9598  1 Sc 3.07, 3 Dy 3.22-3.35, 1 Pr 3.30
9 Sc 0.0632 0.0000 0.7868  3 Pr 2.94-3.03, 3 Dy 3.07-3.11

Values from the calculation:
Volume: 1386.7 Å³/cell
N(E_F): 12.54 states/eV/f.u.
VASP energy: -154.8 eV per cell